[1]
Compound: AcNdDyMg
Source: Alexandria via LeMat-Bulk
Functional: PBE
Structure: relaxed

Its formation energy is -0.020 eV/atom. The magnetization comes out at 0.0 μB/f.u. The volume comes out at 33.414 Å³/atom. The calculation puts the excess energy over the best structure of this formula in the dataset at 0 meV per atom.

It has space group P4mm (No. 99), with a = 3.840 Å, b = 3.840 Å, c = 9.065 Å, α = 90.00°, β = 90.00° and γ = 90.00°. The asymmetric unit holds Ac at (0.000, 0.000, 0.000), Nd at (0.500, 0.500, 0.705), Dy at (0.500, 0.500, 0.283) and Mg at (0.000, 0.000, 0.485).

=====

[2]
Compound: LiTl2Cu2I6
Source: Alexandria via LeMat-Bulk
Functional: PBE
Structure: relaxed

The formation energy (no corrections) is -0.4568 eV per atom. The magnetization comes out at 0.0 μB/f.u. The volume comes out at 39.265 Å³/atom.

It has space group C2/m (No. 12), with a = 14.762 Å, b = 7.714 Å, c = 8.739 Å, α = 90.00°, β = 119.77° and γ = 90.00°. The asymmetric unit holds Li at (0.000, 0.000, 0.000), Tl at (0.228, 0.000, 0.707), Cu at (0.051, 0.500, 0.765), I at (0.067, 0.242, 0.292) and I at (0.241, 0.500, 0.872).